(1)
{
  "formula": "LaHoSn",
  "functional": "PBE",
  "state": "optimized geometry",
  "magmom_total_mub_per_cell": 0.000,
  "ef_ev_per_atom": -0.590,
  "energy_ev_per_atom": -5.093,
  "cell": [[4.442, 0.000, 0.000], [0.000, 4.913, 0.000], [-2.239, 0.000, 8.260]],
  "species": ["La", "La", "Ho", "Ho", "Sn", "Sn"],
  "frac_coords": [[0.070, 0.250, 0.142], [0.930, 0.750, 0.858], [0.254, 0.750, 0.508], [0.746, 0.250, 0.492], [0.389, 0.250, 0.776], [0.611, 0.750, 0.224]]
}

=====

(2)
{
  "formula": "LaHoSn",
  "functional": "PBE",
  "state": "optimized geometry",
  "magmom_total_mub_per_cell": 0.000,
  "ef_ev_per_atom": -0.412,
  "energy_ev_per_atom": -4.914,
  "cell": [[5.150, 0.000, 0.000], [-2.575, 4.460, 0.000], [0.000, 0.000, 4.218]],
  "species": ["La", "Ho", "Sn"],
  "frac_coords": [[0.000, 0.000, 0.000], [0.333, 0.667, 0.501], [0.667, 0.333, 0.497]]
}

=====

(3)
{
  "formula": "La2HoSn3",
  "functional": "PBE",
  "state": "optimized geometry",
  "magmom_total_mub_per_cell": 0.000,
  "ef_ev_per_atom": -0.582,
  "energy_ev_per_atom": -4.989,
  "cell": [[8.237, -3.229, 0.000], [8.237, 3.229, 0.000], [-1.673, 0.000, 7.241]],
  "species": ["La", "La", "La", "La", "Ho", "Ho", "Sn", "Sn", "Sn", "Sn", "Sn", "Sn"],
  "frac_coords": [[0.167, 0.169, 0.084], [0.169, 0.167, 0.584], [0.831, 0.833, 0.416], [0.833, 0.831, 0.916], [0.496, 0.504, 0.250], [0.504, 0.496, 0.750], [0.004, 0.996, 0.750], [0.339, 0.341, 0.420], [0.341, 0.339, 0.920], [0.659, 0.661, 0.080], [0.661, 0.659, 0.580], [0.996, 0.004, 0.250]]
}

=====

(4)
{
  "formula": "La2Ho3Sn4",
  "functional": "PBE",
  "state": "optimized geometry",
  "magmom_total_mub_per_cell": 0.000,
  "ef_ev_per_atom": -0.813,
  "energy_ev_per_atom": -5.213,
  "cell": [[8.370, 0.000, 0.000], [0.000, 8.378, 0.000], [-2.803, 0.000, 7.621]],
  "species": ["La", "La", "La", "La", "Ho", "Ho", "Ho", "Ho", "Ho", "Ho", "Sn", "Sn", "Sn", "Sn", "Sn", "Sn", "Sn", "Sn"],
  "frac_coords": [[0.192, 0.176, 0.063], [0.192, 0.324, 0.563], [0.808, 0.676, 0.437], [0.808, 0.824, 0.937], [0.249, 0.667, 0.244], [0.249, 0.833, 0.744], [0.500, 0.000, 0.500], [0.500, 0.500, 0.000], [0.751, 0.167, 0.256], [0.751, 0.333, 0.756], [0.083, 0.541, 0.847], [0.083, 0.959, 0.347], [0.492, 0.134, 0.863], [0.492, 0.366, 0.363], [0.508, 0.634, 0.637], [0.508, 0.866, 0.137], [0.917, 0.041, 0.653], [0.917, 0.459, 0.153]]
}

=====

(5)
{
  "formula": "La3Ho2Sn4",
  "functional": "PBE",
  "state": "optimized geometry",
  "magmom_total_mub_per_cell": 0.000,
  "ef_ev_per_atom": -0.656,
  "energy_ev_per_atom": -5.095,
  "cell": [[6.821, -2.313, 0.000], [6.821, 2.313, 0.000], [-4.278, 0.000, 9.091]],
  "species": ["La", "La", "La", "Ho", "Ho", "Sn", "Sn", "Sn", "Sn"],
  "frac_coords": [[0.000, 0.000, 0.000], [0.379, 0.379, 0.302], [0.621, 0.621, 0.698], [0.317, 0.317, 0.651], [0.683, 0.683, 0.349], [0.072, 0.072, 0.416], [0.292, 0.292, 0.937], [0.708, 0.708, 0.063], [0.928, 0.928, 0.584]]
}

=====

(6)
{
  "formula": "LaHoZnSn",
  "functional": "PBE",
  "state": "optimized geometry",
  "magmom_total_mub_per_cell": 0.000,
  "ef_ev_per_atom": -0.515,
  "energy_ev_per_atom": -4.211,
  "cell": [[0.000, 3.759, 3.759], [3.759, 0.000, 3.759], [3.759, 3.759, 0.000]],
  "species": ["La", "Ho", "Zn", "Sn"],
  "frac_coords": [[0.000, 0.000, 0.000], [0.500, 0.500, 0.500], [0.250, 0.250, 0.250], [0.750, 0.750, 0.750]]
}